## KRb2HfBr6 (PBE-GGA)

Data for an optimized crystal structure of KRb2HfBr6.

Cell and atoms, written as POSCAR:
```
KRb2HfBr6
1.0
8.199 0.000 0.000
0.000 8.199 0.000
4.100 4.100 5.798
K Hf Br Rb
1 1 6 2
Direct
0.500 0.500 0.000
0.000 0.000 0.000
0.230 0.230 0.540
0.770 0.770 0.460
0.230 0.230 0.000
0.770 0.770 0.000
0.770 0.230 0.000
0.230 0.770 0.000
0.750 0.250 0.500
0.250 0.750 0.500
```

Summary:
- Crystal system: cubic
- Space group: Fm-3m
- E above lowest polymorph: 0.15 eV per formula unit

=====

## KRb2HfBr6 (PBE-GGA)

Data for an optimized crystal structure of KRb2HfBr6.

Cell and atoms, written as POSCAR:
```
KRb2HfBr6
1.0
7.817 0.000 0.000
3.908 6.769 0.000
3.908 2.256 15.608
K Rb Hf Br
2 4 2 12
Direct
0.585 0.585 0.246
0.415 0.415 0.754
0.858 0.858 0.427
0.142 0.142 0.573
0.691 0.691 0.928
0.309 0.309 0.072
0.000 0.000 0.000
0.500 0.500 0.500
0.859 0.370 0.401
0.370 0.859 0.401
0.370 0.370 0.401
0.141 0.630 0.599
0.630 0.141 0.599
0.630 0.630 0.599
0.712 0.194 0.900
0.194 0.712 0.900
0.194 0.194 0.900
0.288 0.806 0.100
0.806 0.288 0.100
0.806 0.806 0.100
```

Summary:
- Crystal system: trigonal
- Space group: R-3m
- E above lowest polymorph: 0.00 eV per formula unit

=====

## K2HfSeBr (PBE-GGA)

Data for an optimized crystal structure of K2HfSeBr.

Cell and atoms, written as POSCAR:
```
K2HfSeBr
1.0
6.925 0.000 0.000
0.000 5.030 0.000
0.000 0.000 6.925
K Hf Se Br
2 1 1 1
Direct
0.000 0.000 0.500
0.500 0.000 0.000
0.000 0.000 0.000
0.500 0.500 0.500
0.000 0.500 0.000
```

Summary:
- Crystal system: tetragonal
- Space group: P4/mmm

=====

## K2HfTlBr8 (PBE-GGA)

Data for an optimized crystal structure of K2HfTlBr8.

Cell and atoms, written as POSCAR:
```
K2HfTlBr8
1.0
-2.028 6.795 -2.198
-4.582 -0.042 4.092
3.631 3.646 7.961
K Hf Tl Br
2 1 1 8
Direct
0.498 0.334 0.812
0.502 0.666 0.188
0.000 0.000 0.000
0.000 0.000 0.500
0.000 0.664 0.242
0.751 0.812 0.877
0.751 0.189 0.122
0.000 0.336 0.758
0.249 0.188 0.123
0.249 0.811 0.878
0.500 0.754 0.505
0.500 0.246 0.495
```

Summary:
- Crystal system: triclinic
- Space group: P-1

=====

## LaHf2Br (PBE-GGA)

Data for an optimized crystal structure of LaHf2Br.

Cell and atoms, written as POSCAR:
```
LaHf2Br
1.0
3.580 1.527 3.415
0.479 5.019 1.179
-1.440 1.711 4.670
Hf Br La
2 1 1
Direct
0.250 0.250 0.250
0.750 0.750 0.750
0.000 0.000 0.000
0.500 0.500 0.500
```

Summary:
- Crystal system: cubic
- Space group: Fm-3m
- E above lowest polymorph: 1.85 eV per formula unit

=====

## LaHf2Br (PBE-GGA)

Data for an optimized crystal structure of LaHf2Br.

Cell and atoms, written as POSCAR:
```
LaHf2Br
1.0
4.206 0.000 0.000
0.000 4.206 0.000
2.103 2.103 12.112
Hf Br La
4 2 2
Direct
0.629 0.125 0.250
0.121 0.625 0.250
0.375 0.371 0.750
0.875 0.879 0.750
0.500 0.500 0.000
0.250 0.750 0.500
0.000 0.000 0.000
0.750 0.250 0.500
```

Summary:
- Crystal system: tetragonal
- Space group: I-42d
- E above lowest polymorph: 0.00 eV per formula unit

=====

## LaHfBr3 (PBE-GGA)

Data for an optimized crystal structure of LaHfBr3.

Cell and atoms, written as POSCAR:
```
LaHfBr3
1.0
5.866 0.000 0.000
0.000 5.866 0.000
0.000 0.000 5.866
Hf Br La
1 3 1
Direct
0.500 0.500 0.500
0.000 0.500 0.000
0.000 0.000 0.500
0.500 0.000 0.000
0.000 0.000 0.000
```

Summary:
- Crystal system: cubic
- Space group: Pm-3m
- E above lowest polymorph: 0.86 eV per formula unit

=====

## LaHfBr3 (PBE-GGA)

Data for an optimized crystal structure of LaHfBr3.

Cell and atoms, written as POSCAR:
```
LaHfBr3
1.0
-0.691 -5.180 0.004
3.686 -0.489 3.673
-3.640 0.489 3.718
Hf Br La
1 3 1
Direct
0.000 0.000 0.000
0.000 0.500 0.000
0.000 0.000 0.500
0.500 0.000 0.000
0.500 0.500 0.500
```

Summary:
- Crystal system: cubic
- Space group: Pm-3m
- E above lowest polymorph: 0.00 eV per formula unit

=====

## LaHf2PBr (PBE-GGA)

Data for an optimized crystal structure of LaHf2PBr.

Cell and atoms, written as POSCAR:
```
LaHf2PBr
1.0
4.859 0.000 0.000
0.000 4.859 0.000
0.000 0.000 5.655
P Hf Br La
1 2 1 1
Direct
0.500 0.500 0.500
0.000 0.500 0.000
0.500 0.000 0.000
0.000 0.000 0.000
0.000 0.000 0.500
```

Summary:
- Crystal system: tetragonal
- Space group: P4/mmm

=====

## LaHfSeBr2 (PBE-GGA)

Data for an optimized crystal structure of LaHfSeBr2.

Cell and atoms, written as POSCAR:
```
LaHfSeBr2
1.0
-2.795 -0.989 4.962
-3.866 -3.239 -2.823
3.291 -4.723 0.913
Hf Se Br La
1 1 2 1
Direct
0.500 0.500 0.500
0.000 0.000 0.500
0.000 0.500 0.000
0.500 0.000 0.000
0.000 0.000 0.000
```

Summary:
- Crystal system: tetragonal
- Space group: P4/mmm
- E above lowest polymorph: 2.52 eV per formula unit

=====

## LaHfSe2Br (PBE-GGA)

Data for an optimized crystal structure of LaHfSe2Br.

Cell and atoms, written as POSCAR:
```
LaHfSe2Br
1.0
-3.725 3.293 -2.885
-3.650 -0.244 4.434
2.336 4.547 2.174
Hf Se Br La
1 2 1 1
Direct
0.500 0.500 0.500
0.000 0.500 0.000
0.500 0.000 0.000
0.000 0.000 0.500
0.000 0.000 0.000
```

Summary:
- Crystal system: tetragonal
- Space group: P4/mmm
- E above lowest polymorph: 4.61 eV per formula unit

=====

## LaHfSeBr2 (PBE-GGA)

Data for an optimized crystal structure of LaHfSeBr2.

Cell and atoms, written as POSCAR:
```
LaHfSeBr2
1.0
-0.058 4.930 1.556
-5.152 -0.182 0.384
0.422 -1.550 4.927
Hf Se Br La
1 1 2 1
Direct
0.000 0.000 0.000
0.000 0.000 0.500
0.000 0.500 0.000
0.500 0.000 0.000
0.500 0.500 0.500
```

Summary:
- Crystal system: tetragonal
- Space group: P4/mmm
- E above lowest polymorph: 0.00 eV per formula unit

=====

## LaHfSe2Br (PBE-GGA)

Data for an optimized crystal structure of LaHfSe2Br.

Cell and atoms, written as POSCAR:
```
LaHfSe2Br
1.0
5.172 0.000 0.000
0.000 5.172 0.000
0.000 0.000 5.096
Hf Se Br La
1 2 1 1
Direct
0.000 0.000 0.000
0.000 0.500 0.000
0.500 0.000 0.000
0.000 0.000 0.500
0.500 0.500 0.500
```

Summary:
- Crystal system: tetragonal
- Space group: P4/mmm
- E above lowest polymorph: 0.00 eV per formula unit

=====

## LaHfSiBr2 (PBE-GGA)

Data for an optimized crystal structure of LaHfSiBr2.

Cell and atoms, written as POSCAR:
```
LaHfSiBr2
1.0
-1.266 -4.836 0.486
5.444 -1.812 -3.847
2.820 -0.322 4.143
Si Hf Br La
1 1 2 1
Direct
0.500 0.500 0.500
0.000 0.000 0.000
0.000 0.000 0.500
0.500 0.000 0.000
0.000 0.500 0.000
```

Summary:
- Crystal system: tetragonal
- Space group: P4/mmm

=====

## LaHfTeBr2 (PBE-GGA)

Data for an optimized crystal structure of LaHfTeBr2.

Cell and atoms, written as POSCAR:
```
LaHfTeBr2
1.0
5.034 0.000 0.000
0.000 6.967 0.000
0.000 0.000 5.034
Te Hf Br La
1 1 2 1
Direct
0.500 0.500 0.500
0.000 0.000 0.000
0.000 0.000 0.500
0.500 0.000 0.000
0.000 0.500 0.000
```

Summary:
- Crystal system: tetragonal
- Space group: P4/mmm

=====

## La2HfTiBr (PBE-GGA)

Data for an optimized crystal structure of La2HfTiBr.

Cell and atoms, written as POSCAR:
```
La2HfTiBr
1.0
5.633 0.000 0.000
0.000 4.805 0.000
0.000 0.000 5.633
Ti Hf Br La
1 1 1 2
Direct
0.000 0.000 0.000
0.500 0.500 0.500
0.000 0.500 0.000
0.000 0.000 0.500
0.500 0.000 0.000
```

Summary:
- Crystal system: tetragonal
- Space group: P4/mmm

=====

## La2HfZrBr (PBE-GGA)

Data for an optimized crystal structure of La2HfZrBr.

Cell and atoms, written as POSCAR:
```
La2HfZrBr
1.0
5.805 0.000 0.000
0.000 5.081 0.000
0.000 0.000 5.805
Hf Br Zr La
1 1 1 2
Direct
0.500 0.500 0.500
0.000 0.500 0.000
0.000 0.000 0.000
0.000 0.000 0.500
0.500 0.000 0.000
```

Summary:
- Crystal system: tetragonal
- Space group: P4/mmm

=====

## Li3HfBr (PBE-GGA)

Data for an optimized crystal structure of Li3HfBr.

Cell and atoms, written as POSCAR:
```
Li3HfBr
1.0
-0.948 4.492 -1.308
-3.155 0.371 3.563
3.454 1.572 2.895
Hf Br Li
1 1 3
Direct
0.500 0.500 0.500
0.000 0.000 0.000
0.000 0.500 0.000
0.000 0.000 0.500
0.500 0.000 0.000
```

Summary:
- Crystal system: cubic
- Space group: Pm-3m
- E above lowest polymorph: 0.00 eV per formula unit

=====

## LiHfBr3 (PBE-GGA)

Data for an optimized crystal structure of LiHfBr3.

Cell and atoms, written as POSCAR:
```
LiHfBr3
1.0
4.896 0.000 0.000
0.000 4.896 0.000
0.000 0.000 4.896
Hf Br Li
1 3 1
Direct
0.500 0.500 0.500
0.000 0.500 0.000
0.000 0.000 0.500
0.500 0.000 0.000
0.000 0.000 0.000
```

Summary:
- Crystal system: cubic
- Space group: Pm-3m
- E above lowest polymorph: 2.03 eV per formula unit

=====

## Li3HfBr (PBE-GGA)

Data for an optimized crystal structure of Li3HfBr.

Cell and atoms, written as POSCAR:
```
Li3HfBr
1.0
-2.396 4.679 -1.893
-4.522 -2.921 -1.496
-2.243 0.891 5.040
Hf Br Li
1 1 3
Direct
0.000 0.000 0.000
0.500 0.500 0.500
0.000 0.500 0.000
0.000 0.000 0.500
0.500 0.000 0.000
```

Summary:
- Crystal system: cubic
- Space group: Pm-3m
- E above lowest polymorph: 3.50 eV per formula unit

=====

## LiHfBr2 (PBE-GGA)

Data for an optimized crystal structure of LiHfBr2.

Cell and atoms, written as POSCAR:
```
LiHfBr2
1.0
-1.046 2.431 -5.806
-5.200 -3.650 -0.592
-5.905 3.025 -1.176
Hf Br Li
2 4 2
Direct
0.000 0.000 0.000
0.750 0.250 0.500
0.591 0.125 0.250
0.159 0.625 0.250
0.375 0.409 0.750
0.875 0.841 0.750
0.500 0.500 0.000
0.250 0.750 0.500
```

Summary:
- Crystal system: tetragonal
- Space group: I-42d
- E above lowest polymorph: 1.79 eV per formula unit

=====

## LiHf2Br (PBE-GGA)

Data for an optimized crystal structure of LiHf2Br.

Cell and atoms, written as POSCAR:
```
LiHf2Br
1.0
-2.766 0.515 3.894
-4.392 -1.944 0.101
-0.890 -3.778 2.831
Hf Br Li
2 1 1
Direct
0.250 0.250 0.250
0.750 0.750 0.750
0.500 0.500 0.500
0.000 0.000 0.000
```

Summary:
- Crystal system: cubic
- Space group: Fm-3m
- E above lowest polymorph: 0.32 eV per formula unit

=====

## LiHf2Br (PBE-GGA)

Data for an optimized crystal structure of LiHf2Br.

Cell and atoms, written as POSCAR:
```
LiHf2Br
1.0
-3.602 1.638 -0.487
0.026 -1.082 -3.837
-6.602 -9.497 0.561
Hf Br Li
4 2 2
Direct
0.628 0.125 0.250
0.122 0.625 0.250
0.375 0.372 0.750
0.875 0.878 0.750
0.000 0.000 0.000
0.750 0.250 0.500
0.500 0.500 0.000
0.250 0.750 0.500
```

Summary:
- Crystal system: tetragonal
- Space group: I-42d
- E above lowest polymorph: 0.00 eV per formula unit

=====

## LiHfBr6 (PBE-GGA)

Data for an optimized crystal structure of LiHfBr6.

Cell and atoms, written as POSCAR:
```
LiHfBr6
1.0
-4.706 -2.364 4.324
-0.277 -6.658 1.411
2.184 -2.254 6.512
Li Hf Br
1 1 6
Direct
0.500 0.500 0.500
0.000 0.000 0.000
0.080 0.401 0.750
0.765 0.079 0.757
0.604 0.232 0.246
0.235 0.921 0.243
0.920 0.599 0.250
0.396 0.768 0.754
```

Summary:
- Crystal system: triclinic
- Space group: P-1

=====

## LiHfBr4 (PBE-GGA)

Data for an optimized crystal structure of LiHfBr4.

Cell and atoms, written as POSCAR:
```
LiHfBr4
1.0
7.122 0.000 0.000
0.000 7.122 0.000
-3.561 -3.561 4.435
Li Hf Br
1 1 4
Direct
0.750 0.250 0.500
0.500 0.500 0.000
0.391 0.866 0.191
0.800 0.325 0.191
0.134 0.200 0.809
0.675 0.609 0.809
```

Summary:
- Crystal system: tetragonal
- Space group: I-4

=====

## LiHfBr2 (PBE-GGA)

Data for an optimized crystal structure of LiHfBr2.

Cell and atoms, written as POSCAR:
```
LiHfBr2
1.0
0.569 -2.781 8.274
1.229 -5.778 6.451
3.859 -3.441 7.055
Hf Br Li
1 2 1
Direct
0.000 0.000 0.000
0.896 0.896 0.896
0.104 0.104 0.104
0.500 0.500 0.500
```

Summary:
- Crystal system: trigonal
- Space group: R-3m
- E above lowest polymorph: 0.00 eV per formula unit

=====

## LiHfBr3 (PBE-GGA)

Data for an optimized crystal structure of LiHfBr3.

Cell and atoms, written as POSCAR:
```
LiHfBr3
1.0
5.311 0.000 0.000
0.000 5.311 0.000
0.000 0.000 5.311
Hf Br Li
1 3 1
Direct
0.000 0.000 0.000
0.000 0.500 0.000
0.000 0.000 0.500
0.500 0.000 0.000
0.500 0.500 0.500
```

Summary:
- Crystal system: cubic
- Space group: Pm-3m
- E above lowest polymorph: 0.00 eV per formula unit

=====

| no. | ΔE_f (raw) (meV per atom) | total energy (eV per atom) |
| --- | --- | --- |
| 1 | -1496 | -3.798 |
| 2 | -1511 | -3.813 |
| 3 | 282 | -3.179 |
| 4 | -1295 | -3.620 |
| 5 | 592 | -6.035 |
| 6 | 129 | -6.497 |
| 7 | -301 | -4.281 |
| 8 | -472 | -4.452 |
| 9 | 512 | -5.871 |
| 10 | -285 | -4.627 |
| 11 | -149 | -4.853 |
| 12 | -790 | -5.132 |
| 13 | -1072 | -5.776 |
| 14 | 138 | -4.592 |
| 15 | -646 | -4.920 |
| 16 | 667 | -5.209 |
| 17 | 778 | -5.228 |
| 18 | 290 | -3.183 |
| 19 | -277 | -3.655 |
| 20 | 990 | -2.484 |
| 21 | -277 | -4.080 |
| 22 | 392 | -5.482 |
| 23 | 311 | -5.563 |
| 24 | -1127 | -3.865 |
| 25 | -1163 | -4.257 |
| 26 | -726 | -4.529 |
| 27 | -684 | -4.061 |